(1)
InTcRh | PBE-GGA | optimized geometry

abc: 2.947 14.280 4.652
angles: 90.00 90.93 90.00
Fractional positions:
Rh1 0.157 0.156 0.950
Rh2 0.157 0.344 0.450
Rh3 0.157 0.844 0.950
Rh4 0.157 0.656 0.450
In1 0.668 0.671 0.947
In2 0.668 0.329 0.947
In3 0.668 0.829 0.447
In4 0.668 0.171 0.447
Tc1 0.618 0.000 0.780
Tc2 0.205 0.000 0.284
Tc3 0.205 0.500 0.784
Tc4 0.618 0.500 0.280

Properties
Formation enthalpy at 0 K = -0.0210 eV/atom
Mass density = 10.72 g/cm³

---

(2)
InTcRh | PBE-GGA | optimized geometry

abc: 2.938 4.672 7.367
angles: 99.68 100.55 91.60
Fractional positions:
In1 0.413 0.693 0.338
In2 0.587 0.307 0.662
Tc1 0.303 0.246 0.013
Tc2 0.697 0.754 0.987
Rh1 0.082 0.821 0.685
Rh2 0.918 0.179 0.315

Properties
Formation enthalpy at 0 K = -0.0661 eV/atom
Mass density = 10.72 g/cm³